No. 1
The following is a meta-GGA SCAN calculation of a crystal of PdSeN3 relaxed with PBEsol, from the Alexandria database.

Results
N(E_F), states/eV per cell: 4.30
Calculated total energy, eV/atom: -14.034

Unit cell a=3.7512 b=3.7512 c=3.7512 alpha=90.00 beta=90.00 gamma=90.00
Space group Pm-3m (No. 221)
Unique sites:
Pd 0.0000 0.0000 0.0000 (multiplicity 1)
Se 0.5000 0.5000 0.5000 (multiplicity 1)
N 0.0000 0.5000 0.5000 (multiplicity 3)

No. 2
The following is a meta-GGA SCAN calculation of a crystal of Y2ScTiRu relaxed with PBEsol, from the Alexandria database.

Results
Formation energy, eV/atom: 0.46
N(E_F), states/eV per cell: 4.49
Calculated total energy, eV/atom: -23.694

Unit cell a=5.2914 b=5.2914 c=4.4025 alpha=90.00 beta=90.00 gamma=90.00
Space group P4/mmm (No. 123)
Unique sites:
Y 0.0000 0.5000 0.0000 (multiplicity 2)
Sc 0.0000 0.0000 0.5000 (multiplicity 1)
Ti 0.5000 0.5000 0.0000 (multiplicity 1)
Ru 0.5000 0.5000 0.5000 (multiplicity 1)

No. 3
The following is a meta-GGA SCAN calculation of a crystal of Dy5Co2Bi relaxed with PBEsol, from the Alexandria database.

Results
Formation energy, eV/atom: -0.34
N(E_F), states/eV per cell: 32.10
Calculated total energy, eV/atom: -44.362

Unit cell a=7.4890 b=7.4890 c=13.4443 alpha=90.00 beta=90.00 gamma=90.00
Space group I4/mcm (No. 140)
Unique sites:
Dy 0.0000 0.0000 0.0000 (multiplicity 4)
Dy 0.1573 0.3427 0.1295 (multiplicity 16)
Co 0.1371 0.3629 0.5000 (multiplicity 8)
Bi 0.0000 0.0000 0.2500 (multiplicity 4)

No. 4
The following is a meta-GGA SCAN calculation of a crystal of HfZr2Co2 relaxed with PBEsol, from the Alexandria database.

Results
Formation energy, eV/atom: -0.17
N(E_F), states/eV per cell: 9.97
Calculated total energy, eV/atom: -31.907

Unit cell a=7.0548 b=7.0548 c=3.3377 alpha=90.00 beta=90.00 gamma=90.00
Space group P4/mbm (No. 127)
Unique sites:
Hf 0.0000 0.0000 0.0000 (multiplicity 2)
Zr 0.1675 0.3325 0.5000 (multiplicity 4)
Co 0.1274 0.6274 0.0000 (multiplicity 4)

> What is the calculated total energy in the second record?

-23.694 eV/atom